{"formula": "ZnSn2Ge2Pt7", "functional": "PBE", "state": "optimized geometry", "dft_energy_ev_per_atom": -5.446, "volume_a3_per_atom": 19.4, "lattice_angstrom": [[-2.956, 1.389, -2.092], [-2.506, -1.519, 2.540], [-2.448, 13.068, 8.441]], "species": ["Pt", "Pt", "Pt", "Pt", "Pt", "Pt", "Pt", "Sn", "Sn", "Zn", "Ge", "Ge"], "fractional_positions": [[0.068, 0.567, 0.867], [0.567, 0.068, 0.867], [0.303, 0.303, 0.393], [0.433, 0.932, 0.133], [0.697, 0.697, 0.607], [0.500, 0.500, 0.000], [0.932, 0.433, 0.133], [0.787, 0.787, 0.426], [0.213, 0.213, 0.574], [0.000, 0.000, 0.000], [0.621, 0.621, 0.764], [0.379, 0.379, 0.236]]}